Computed, not measured: crystalline Cs2Li2NpTe4 at its relaxed geometry at the PBE level of DFT.

The structure in CIF format:
```
data_Cs2Li2NpTe4
_chemical_formula_sum 'Cs4 Li4 Np2 Te8'
_symmetry_space_group_name_H-M 'C 1 2/m 1'
_symmetry_Int_Tables_number 12
_symmetry_space_group_name_Hall '-C 2y'
_cell_length_a 16.8585
_cell_length_b 4.6680
_cell_length_c 8.8219
_cell_angle_alpha 90.00
_cell_angle_beta 108.76
_cell_angle_gamma 90.00
loop_
_atom_site_label
_atom_site_type_symbol
_atom_site_fract_x
_atom_site_fract_y
_atom_site_fract_z
_atom_site_occupancy
Cs1 Cs 0.1376 0.0000 0.0668 1
Li1 Li 0.1799 0.5000 0.4864 1
Np1 Np 0.0000 0.0000 0.5000 1
Te1 Te 0.0148 0.5000 0.2780 1
Te2 Te 0.1909 0.0000 0.6609 1
```

Results
- raw formation energy (eV/atom) = -0.98
- crystal system = monoclinic
- E (eV per cell) = -79.6
- Fermi-level density of states (states/eV/f.u.) = 6.6